Entry 1:
TbRuCl (PBE, optimized geometry); M_tot = 0.00 μB/f.u.; E_tot = -38.216 eV per cell
1.0
-0.102 -3.426 2.434
-1.565 -3.495 -1.355
13.172 -0.473 3.515
Tb Ru Cl
2 2 2
Direct
0.179 0.451 0.190
0.821 0.549 0.810
0.797 0.390 0.015
0.203 0.610 0.985
0.415 0.512 0.659
0.585 0.488 0.341



Entry 2:
AsF3 (PBE, optimized geometry); M_tot = 0.00 μB/f.u.; E_tot = -75.646 eV per cell
1.0
6.246 0.000 0.000
0.000 8.108 0.000
0.000 0.000 6.382
F As
12 4
Direct
0.952 0.540 0.918
0.241 0.806 0.130
0.158 0.695 0.628
0.658 0.305 0.372
0.158 0.195 0.872
0.452 0.960 0.418
0.741 0.194 0.870
0.658 0.805 0.128
0.741 0.694 0.630
0.952 0.040 0.582
0.241 0.306 0.370
0.452 0.460 0.082
0.451 0.257 0.189
0.451 0.757 0.311
0.951 0.243 0.689
0.951 0.743 0.811



Entry 3:
Ac3Ce2PaN6 (PBE, optimized geometry); M_tot = 0.00 μB/f.u.; E_tot = -99.838 eV per cell
1.0
6.363 0.000 0.002
-3.181 5.511 0.002
-1.060 -1.835 6.159
N Pa Ac Ce
6 1 3 2
Direct
0.751 0.751 0.206
0.933 0.615 0.799
0.249 0.249 0.794
0.615 0.933 0.799
0.067 0.385 0.201
0.385 0.067 0.201
0.000 0.000 0.000
0.832 0.168 0.500
0.168 0.832 0.500
0.500 0.500 0.500
0.334 0.666 0.000
0.666 0.334 0.000



Entry 4:
ZrScFeCo (PBE, optimized geometry); relative energy among the computed polymorphs = 0.0000 eV per atom; calculated formation energy = -0.262 eV/atom; M_tot = 0.13 μB/f.u.; E_tot = -31.497 eV per cell
1.0
-2.664 -1.699 0.078
1.653 -2.621 -0.623
0.790 -0.959 6.128
Sc Zr Co Fe
1 1 1 1
Direct
0.000 0.000 0.858
0.000 0.000 0.355
0.500 0.500 0.603
0.500 0.500 0.113



Entry 5:
Ba4SrCa5 (PBE, optimized geometry); relative energy among the computed polymorphs = 0.0000 eV per atom; calculated formation energy = 0.031 eV/atom; M_tot = 0.00 μB/f.u.; E_tot = -19.070 eV per cell
1.0
-3.489 -1.298 2.865
0.399 -4.426 -1.520
15.516 -4.405 16.901
Sr Ca Ba
1 5 4
Direct
0.000 0.000 0.000
0.500 0.500 0.703
0.500 0.500 0.500
0.500 0.500 0.907
0.500 0.500 0.297
0.500 0.500 0.093
0.000 0.000 0.398
0.000 0.000 0.602
0.000 0.000 0.195
0.000 0.000 0.805



Entry 6:
CsRb2Pd (PBE, optimized geometry); relative energy among the computed polymorphs = 0.1106 eV per atom; calculated formation energy = 0.243 eV/atom; M_tot = 0.00 μB/f.u.; E_tot = -7.011 eV per cell
1.0
0.000 4.541 4.541
4.541 0.000 4.541
4.541 4.541 0.000
Pd Cs Rb
1 1 2
Direct
0.000 0.000 0.000
0.500 0.500 0.500
0.250 0.250 0.250
0.750 0.750 0.750



Entry 7:
TmScS2 (PBE, optimized geometry); relative energy among the computed polymorphs = 0.0111 eV per atom; M_tot = 0.00 μB/f.u.; E_tot = -26.608 eV per cell
1.0
3.689 0.000 0.000
1.844 3.195 0.000
1.844 1.065 6.500
S Tm Sc
2 1 1
Direct
0.254 0.254 0.237
0.078 0.078 0.767
0.495 0.495 0.515
0.673 0.673 0.981



Entry 8:
Zr3ScPd (PBE, optimized geometry); relative energy among the computed polymorphs = 0.7216 eV per atom; calculated formation energy = 1.090 eV/atom; M_tot = 0.00 μB/f.u.; E_tot = -31.718 eV per cell
1.0
-0.839 2.434 -4.235
-3.051 -3.617 -1.475
-3.815 2.358 2.110
Zr Pd Sc
3 1 1
Direct
0.000 0.500 0.000
0.500 0.000 0.000
0.000 0.000 0.500
0.500 0.500 0.500
0.000 0.000 0.000



Entry 9:
BaMoBr (PBE, optimized geometry); relative energy among the computed polymorphs = 0.0936 eV per atom; M_tot = 4.20 μB/f.u.; E_tot = -12.550 eV per cell
1.0
-0.429 -1.328 3.791
-0.911 -2.420 -3.103
6.775 -2.439 -0.087
Mo Ba Br
1 1 1
Direct
0.333 0.667 0.652
0.000 0.000 0.008
0.667 0.333 0.340



Entry 10:
NbV2Ga2 (PBE, optimized geometry); relative energy among the computed polymorphs = 0.0000 eV per atom; calculated formation energy = -0.207 eV/atom; M_tot = 0.00 μB/f.u.; E_tot = -70.793 eV per cell
1.0
-3.488 -2.023 3.271
-5.028 -4.257 -0.759
2.448 -4.641 5.434
Nb V Ga
2 4 4
Direct
0.000 0.750 0.250
0.000 0.250 0.750
0.398 0.268 0.949
0.602 0.232 0.551
0.602 0.732 0.051
0.398 0.768 0.449
0.815 0.255 0.158
0.185 0.245 0.342
0.185 0.745 0.842
0.815 0.755 0.658



Entry 11:
PmGaAg2 (PBE, optimized geometry); calculated formation energy = -0.324 eV/atom; M_tot = 0.00 μB/f.u.; E_tot = -59.109 eV per cell
1.0
0.364 -4.397 -0.321
8.788 0.482 3.363
-3.138 1.381 8.002
Ag Ga Pm
8 4 4
Direct
0.948 0.750 0.896
0.304 0.403 0.608
0.891 0.250 0.781
0.304 0.097 0.608
0.696 0.903 0.392
0.109 0.750 0.219
0.696 0.597 0.392
0.052 0.250 0.104
0.858 0.976 0.716
0.858 0.524 0.716
0.142 0.024 0.284
0.142 0.476 0.284
0.307 0.750 0.613
0.693 0.250 0.387
0.500 0.500 0.000
0.500 0.000 0.000



Entry 12:
Nd2CuSi (PBE, optimized geometry); M_tot = 0.00 μB/f.u.; E_tot = -18.266 eV per cell
1.0
4.247 0.000 0.000
2.124 3.678 0.000
2.124 1.226 8.912
Cu Nd Si
1 2 1
Direct
0.000 0.000 0.000
0.108 0.108 0.676
0.892 0.892 0.324
0.500 0.500 0.500



> Which value of M_tot does entry 11 give?

0.00 μB/f.u.